[1]
Ca2SbF | PBE | relaxed

Calculated values
- Relative energy among the computed polymorphs: 1.441 eV per formula unit
- Formation energy from raw total energies: -1.70 eV per atom
- DOS(E_F): 0.00 states/eV per cell
- Calculated volume: 24.77 Å³/atom
- Size of the total moment: 0.00 μB/atom

Lattice parameters (Å, degrees): 5.1939 5.1939 5.1939 60.00 60.00 60.00
Sites, in units of the cell vectors:
Sb 0.5000 0.5000 0.5000
Ca 0.2500 0.2500 0.2500
Ca 0.7500 0.7500 0.7500
F 0.0000 0.0000 0.0000

***

[2]
CaScSb2F | PBE | relaxed

Calculated values
- Formation energy from raw total energies: -1.08 eV per atom
- DOS(E_F): 3.63 states/eV per cell
- Calculated volume: 25.16 Å³/atom
- Size of the total moment: 0.00 μB/atom

Lattice parameters (Å, degrees): 5.6198 5.6198 3.9827 90.00 90.00 90.00
Sites, in units of the cell vectors:
Sc 0.0000 0.0000 0.5000
Sb 0.0000 0.5000 0.0000
Sb 0.5000 0.0000 0.0000
Ca 0.5000 0.5000 0.5000
F 0.0000 0.0000 0.0000

***

[3]
CaSb2TeF | PBE | relaxed

Calculated values
- Relative energy among the computed polymorphs: 0.000 eV per formula unit
- Formation energy from raw total energies: -0.67 eV per atom
- DOS(E_F): 1.92 states/eV per cell
- Calculated volume: 25.97 Å³/atom
- Size of the total moment: 0.00 μB/atom

Lattice parameters (Å, degrees): 4.7739 4.7739 5.6983 90.00 90.00 90.00
Sites, in units of the cell vectors:
Sb 0.0000 0.5000 0.0000
Sb 0.5000 0.0000 0.0000
Ca 0.5000 0.5000 0.5000
Te 0.0000 0.0000 0.5000
F 0.0000 0.0000 0.0000

***

[4]
CaSb2TeF | PBE | relaxed

Calculated values
- Relative energy among the computed polymorphs: 4.604 eV per formula unit
- Formation energy from raw total energies: 0.25 eV per atom
- DOS(E_F): 5.86 states/eV per cell
- Calculated volume: 37.35 Å³/atom
- Size of the total moment: 0.00 μB/atom

Lattice parameters (Å, degrees): 5.7697 5.7697 5.6093 90.00 90.00 90.00
Sites, in units of the cell vectors:
Sb 0.0000 0.5000 0.0000
Sb 0.5000 0.0000 0.0000
Ca 0.0000 0.0000 0.0000
Te 0.0000 0.0000 0.5000
F 0.5000 0.5000 0.5000

***

[5]
CaSbTe2F | PBE | relaxed

Calculated values
- Relative energy among the computed polymorphs: 4.185 eV per formula unit
- Formation energy from raw total energies: 0.12 eV per atom
- DOS(E_F): 7.10 states/eV per cell
- Calculated volume: 37.93 Å³/atom
- Size of the total moment: 0.01 μB/atom

Lattice parameters (Å, degrees): 5.6789 5.6789 5.8805 90.00 90.00 90.00
Sites, in units of the cell vectors:
Sb 0.0000 0.0000 0.5000
Ca 0.0000 0.0000 0.0000
Te 0.0000 0.5000 0.0000
Te 0.5000 0.0000 0.0000
F 0.5000 0.5000 0.5000

***

[6]
CaSbTe2F | PBE | relaxed

Calculated values
- Relative energy among the computed polymorphs: 0.000 eV per formula unit
- Formation energy from raw total energies: -0.72 eV per atom
- DOS(E_F): 3.83 states/eV per cell
- Calculated volume: 27.24 Å³/atom
- Size of the total moment: 0.00 μB/atom

Lattice parameters (Å, degrees): 5.5840 5.5840 4.3673 90.00 90.00 90.00
Sites, in units of the cell vectors:
Sb 0.0000 0.0000 0.5000
Ca 0.5000 0.5000 0.5000
Te 0.0000 0.5000 0.0000
Te 0.5000 0.0000 0.0000
F 0.0000 0.0000 0.0000